w.
A relaxed structure of Y3ScCl, computed with PBE.

Calculated values
Size of the total moment   0.000 μB per formula unit
DOS(E_F)   1.907 states/eV/atom
Crystal system   cubic

Cell lengths 5.2268, 5.2268, 5.2268 Å; angles 90.00, 90.00, 90.00 degrees
Atoms (fractional coordinates):
Y1 0.0000 0.5000 0.0000
Y2 0.0000 0.0000 0.5000
Y3 0.5000 0.0000 0.0000
Sc1 0.5000 0.5000 0.5000
Cl1 0.0000 0.0000 0.0000

x.
A relaxed structure of Y3ScCl, computed with PBE.

Calculated values
Size of the total moment   0.000 μB per formula unit
DOS(E_F)   1.429 states/eV/atom
Crystal system   cubic

Cell lengths 5.6424, 5.6424, 5.6424 Å; angles 90.00, 90.00, 90.00 degrees
Atoms (fractional coordinates):
Y1 0.0000 0.5000 0.0000
Y2 0.0000 0.0000 0.5000
Y3 0.5000 0.0000 0.0000
Sc1 0.0000 0.0000 0.0000
Cl1 0.5000 0.5000 0.5000

The most stable arrangement is w, and the next structure is 928 meV/atom less stable.

w.
A relaxed structure of ScZnCl2, computed with PBE.

Calculated values
Size of the total moment   0.000 μB per formula unit
DOS(E_F)   0.447 states/eV/atom
Crystal system   orthorhombic

Cell lengths 4.9075, 4.9075, 3.4046 Å; angles 90.00, 90.00, 101.33 degrees
Atoms (fractional coordinates):
Sc1 0.5000 0.0000 0.5000
Zn1 0.0000 0.5000 0.5000
Cl1 0.0000 0.0000 0.0000
Cl2 0.5000 0.5000 0.0000

x.
A relaxed structure of ScZnCl2, computed with PBE.

Calculated values
Size of the total moment   0.000 μB per formula unit
DOS(E_F)   0.584 states/eV/atom
Crystal system   orthorhombic

Cell lengths 7.2046, 7.2046, 5.1766 Å; angles 68.98, 68.98, 27.02 degrees
Atoms (fractional coordinates):
Sc1 0.2500 0.2500 0.2500
Zn1 0.7500 0.7500 0.7500
Cl1 0.8940 0.8940 0.1063
Cl2 0.6060 0.6060 0.3937

The most stable arrangement is x, and the next structure is 464 meV/atom less stable.